Entry 1:
Density functional theory data (PBEsol) for LaTl2Pt2 after structural relaxation.

Unit cell a=7.0699 b=7.0699 c=7.0699 alpha=145.14 beta=145.14 gamma=50.13
Fractional coordinates of all 5 atoms:
La 0.0000 0.0000 0.0000
Tl 0.2500 0.7500 0.5000
Tl 0.7500 0.2500 0.5000
Pt 0.4007 0.4007 0.0000
Pt 0.5993 0.5993 0.0000

Results
Spin magnetization: 0.0 μB/f.u.
Uncorrected energy: -26.98 eV/f.u.
SG: I4/mmm, No. 139
Energy of formation from the pure elements: -489 meV per atom
N(E_F): 0.6034 states/eV per atom

---

Entry 2:
Density functional theory data (PBEsol) for LaTlPt after structural relaxation.

Unit cell a=4.8312 b=4.8312 c=4.8312 alpha=60.00 beta=60.00 gamma=60.00
Fractional coordinates of all 3 atoms:
La 0.0000 0.0000 0.0000
Tl 0.5000 0.5000 0.5000
Pt 0.2500 0.2500 0.2500

Results
Spin magnetization: 0.0 μB/f.u.
Uncorrected energy: -16.97 eV/f.u.
SG: F-43m, No. 216
Energy of formation from the pure elements: -677 meV per atom
N(E_F): 1.3571 states/eV per atom

---

Entry 3:
Density functional theory data (PBEsol) for LaTlPt after structural relaxation.

Unit cell a=4.7709 b=4.7709 c=3.6400 alpha=90.00 beta=90.00 gamma=120.00
Fractional coordinates of all 3 atoms:
La 0.0000 0.0000 0.0000
Tl 0.6667 0.3333 0.5000
Pt 0.3333 0.6667 0.5000

Results
Spin magnetization: 0.0 μB/f.u.
Uncorrected energy: -16.97 eV/f.u.
SG: P-6m2, No. 187
Energy of formation from the pure elements: -676 meV per atom
N(E_F): 0.7297 states/eV per atom

---

Entry 4:
Density functional theory data (PBEsol) for LaTlPt4 after structural relaxation.

Unit cell a=5.4145 b=5.4145 c=5.4145 alpha=60.00 beta=60.00 gamma=60.00
Fractional coordinates of all 6 atoms:
La 0.0000 0.0000 0.0000
Tl 0.7500 0.7500 0.7500
Pt 0.3755 0.3755 0.3755
Pt 0.3755 0.3755 0.8734
Pt 0.3755 0.8734 0.3755
Pt 0.8734 0.3755 0.3755

Results
Spin magnetization: 0.0 μB/f.u.
Uncorrected energy: -40.35 eV/f.u.
SG: F-43m, No. 216
Energy of formation from the pure elements: -753 meV per atom
N(E_F): 0.4497 states/eV per atom

---

Entry 5:
Density functional theory data (PBEsol) for LaPtW2 after structural relaxation.

Unit cell a=10.2963 b=10.2963 c=10.2963 alpha=16.03 beta=16.03 gamma=16.03
Fractional coordinates of all 4 atoms:
La 0.0000 0.0000 0.0000
Pt 0.7577 0.7577 0.7577
W 0.2383 0.2383 0.2383
W 0.4945 0.4945 0.4945

Results
Spin magnetization: 0.0 μB/f.u.
Uncorrected energy: -38.27 eV/f.u.
SG: R3m, No. 160
Energy of formation from the pure elements: 415 meV per atom
N(E_F): 1.0478 states/eV per atom
E above lowest polymorph: 185.6 meV/atom

---

Entry 6:
Density functional theory data (PBEsol) for La2PtW after structural relaxation.

Unit cell a=3.6377 b=3.6377 c=7.0099 alpha=90.00 beta=90.00 gamma=90.00
Fractional coordinates of all 4 atoms:
La 0.0000 0.0000 0.2436
La 0.0000 0.0000 0.7564
Pt 0.5000 0.5000 0.0000
W 0.5000 0.5000 0.5000

Results
Spin magnetization: 0.6 μB/f.u.
Uncorrected energy: -31.07 eV/f.u.
SG: P4/mmm, No. 123
Energy of formation from the pure elements: 99 meV per atom
N(E_F): 1.4153 states/eV per atom

---

Entry 7:
Density functional theory data (PBEsol) for LaPtW2 after structural relaxation.

Unit cell a=2.8660 b=2.8660 c=9.3181 alpha=90.00 beta=90.00 gamma=108.45
Fractional coordinates of all 4 atoms:
La 0.0000 0.0000 0.0000
Pt 0.5000 0.5000 0.7257
W 0.0000 0.0000 0.5059
W 0.5000 0.5000 0.2875

Results
Spin magnetization: 0.0 μB/f.u.
Uncorrected energy: -39.01 eV/f.u.
SG: Cmm2, No. 35
Energy of formation from the pure elements: 229 meV per atom
N(E_F): 0.9159 states/eV per atom
E above lowest polymorph: 0.0 meV/atom

---

Entry 8:
Density functional theory data (PBEsol) for La3PtW after structural relaxation.

Unit cell a=5.5041 b=5.5041 c=5.5041 alpha=90.00 beta=90.00 gamma=90.00
Fractional coordinates of all 5 atoms:
La 0.0000 0.0000 0.5000
La 0.0000 0.5000 0.0000
La 0.5000 0.0000 0.0000
Pt 0.0000 0.0000 0.0000
W 0.5000 0.5000 0.5000

Results
Spin magnetization: 2.8 μB/f.u.
Uncorrected energy: -33.16 eV/f.u.
SG: Pm-3m, No. 221
Energy of formation from the pure elements: 729 meV per atom
N(E_F): 1.7917 states/eV per atom